The following is a DFT calculation (PBE) of BaNaNiH4 after structural relaxation.

Unit cell a=5.092 b=5.174 c=8.176 alpha=90.00 beta=108.14 gamma=90.00
Element x y z (fractional)
1 Ba 0.118 0.250 0.236
2 Ba 0.882 0.750 0.764
3 Na 0.645 0.750 0.290
4 Na 0.355 0.250 0.710
5 Ni 0.249 0.750 0.497
6 Ni 0.751 0.250 0.503
7 H 0.856 0.250 0.712
8 H 0.351 0.750 0.703
9 H 0.144 0.750 0.288
10 H 0.649 0.250 0.297
11 H 0.500 0.500 0.500
12 H 0.000 0.000 0.500
13 H 0.500 0.000 0.500
14 H 0.000 0.500 0.500

=====

The following is a DFT calculation (PBE) of BaNaNiH6 after structural relaxation.

Unit cell a=5.064 b=5.064 c=4.889 alpha=90.00 beta=90.01 gamma=60.00
Element x y z (fractional)
1 Ba 0.000 0.000 0.870
2 Na 0.667 0.667 0.385
3 Ni 0.333 0.333 0.529
4 H 0.184 0.183 0.353
5 H 0.478 0.044 0.719
6 H 0.478 0.478 0.719
7 H 0.044 0.478 0.719
8 H 0.183 0.633 0.353
9 H 0.633 0.184 0.353

=====

The following is a DFT calculation (PBE) of BaNaNi2H after structural relaxation.

Unit cell a=4.876 b=4.576 c=4.876 alpha=90.00 beta=90.00 gamma=90.00
Element x y z (fractional)
1 Ni 0.000 0.000 0.500
2 Ni 0.500 0.000 0.000
3 Ba 0.500 0.500 0.500
4 H 0.000 0.500 0.000
5 Na 0.000 0.000 0.000

=====

The following is a DFT calculation (PBE) of Ba3NaNi2H8 after structural relaxation.

Unit cell a=5.633 b=5.633 c=7.680 alpha=90.00 beta=90.00 gamma=120.00
Site moments in Bohr magnetons follow the coordinates.
Element x y z (fractional)
1 Ba 0.333 0.667 0.684  0.00
2 Ba 0.667 0.333 0.316  0.00
3 Ba 0.000 0.000 0.000  0.00
4 Na 0.000 0.000 0.500  0.00
5 Ni 0.333 0.667 0.237  0.39
6 Ni 0.667 0.333 0.763  0.39
7 H 0.333 0.667 0.031  0.00
8 H 0.667 0.333 0.969  0.00
9 H 0.179 0.821 0.317  0.01
10 H 0.821 0.179 0.683  0.01
11 H 0.179 0.358 0.317  0.01
12 H 0.821 0.642 0.683  0.01
13 H 0.642 0.821 0.317  0.01
14 H 0.358 0.179 0.683  0.01

=====

Electronic total energy, record by record: -3.48; -3.49; -2.82; -3.59 eV/atom
Volume, record by record: 102.4; 108.6; 108.8; 211.1 Å³/f.u.